(1)
Computed, not measured: crystalline Li4SiPd2 at its relaxed geometry at the GGA-PBE level of DFT.

Cell: 5.3396 5.3355 5.1253 Å, 61.35 61.27 57.39°
With the nearest neighbours (Å) after each atom.
Atoms (fractional coordinates):
Li 0.0000 0.5000 0.0000  4 Li 2.56, 2 Si 2.67, 4 Pd 2.67
Li 0.0000 0.5000 0.5000  4 Li 2.56, 4 Pd 2.67, 2 Si 2.67
Li 0.5000 0.0000 0.0000  4 Li 2.56, 4 Pd 2.67, 2 Si 2.67
Li 0.5000 0.0000 0.5000  4 Li 2.56, 2 Si 2.67, 4 Pd 2.67
Si 0.0000 0.0000 0.0000  4 Pd 2.56, 8 Li 2.67
Pd 0.0000 0.0000 0.5000  2 Si 2.56, 8 Li 2.67
Pd 0.5000 0.5000 0.0000  2 Si 2.56, 8 Li 2.67

Fermi-level density of states	0.3026	states/eV/atom
V	103	Å³/cell
total DFT energy (no corrections)	-3.7209	eV/atom
ΔE_f (raw)	-0.37	eV per atom
total moment	0.00	μB per formula unit
crystal system	orthorhombic

(2)
Computed, not measured: crystalline Li3SiPd6 at its relaxed geometry at the GGA-PBE level of DFT.

Cell: 6.7931 6.7931 6.7931 Å, 88.33 88.33 88.33°
With the nearest neighbours (Å) after each atom.
Atoms (fractional coordinates):
Li 0.1041 0.4533 0.3426  1 Li 2.61, 5 Pd 2.65-2.86
Li 0.3426 0.1041 0.4533  1 Li 2.61, 5 Pd 2.65-2.86
Li 0.4533 0.3426 0.1041  1 Li 2.61, 5 Pd 2.65-2.86
Li 0.5467 0.6574 0.8959  1 Li 2.61, 5 Pd 2.65-2.86
Li 0.6574 0.8959 0.5467  1 Li 2.61, 5 Pd 2.65-2.86
Li 0.8959 0.5467 0.6574  1 Li 2.61, 5 Pd 2.65-2.86
Si 0.0000 0.0000 0.0000  6 Pd 2.32
Si 0.5000 0.5000 0.5000  6 Pd 2.46
Pd 0.0160 0.9070 0.3310  1 Si 2.32
Pd 0.0930 0.6690 0.9840  1 Si 2.32
Pd 0.2434 0.3765 0.7318  1 Si 2.46, 2 Li 2.65-2.74, 4 Pd 2.67-2.75
Pd 0.2682 0.7566 0.6235  1 Si 2.46, 2 Li 2.65-2.74, 4 Pd 2.67-2.75
Pd 0.3310 0.0160 0.9070  1 Si 2.32
Pd 0.3765 0.7318 0.2434  1 Si 2.46, 2 Li 2.65-2.74, 4 Pd 2.67-2.75
Pd 0.6235 0.2682 0.7566  1 Si 2.46, 2 Li 2.65-2.74, 4 Pd 2.67-2.75
Pd 0.6690 0.9840 0.0930  1 Si 2.32
Pd 0.7318 0.2434 0.3765  1 Si 2.46, 2 Li 2.65-2.74, 4 Pd 2.67-2.75
Pd 0.7566 0.6235 0.2682  1 Si 2.46, 2 Li 2.65-2.74, 4 Pd 2.67-2.75
Pd 0.9070 0.3310 0.0160  1 Si 2.32
Pd 0.9840 0.0930 0.6690  1 Si 2.32

Fermi-level density of states	0.3428	states/eV/atom
V	313	Å³/cell
total DFT energy (no corrections)	-4.6322	eV/atom
ΔE_f (raw)	-0.40	eV per atom
total moment	0.00	μB per formula unit
crystal system	trigonal

(3)
Computed, not measured: crystalline Li2SiPd5 at its relaxed geometry at the GGA-PBE level of DFT.

Cell: 5.3400 10.1547 4.0919 Å, 90.00 90.00 90.00°
With the nearest neighbours (Å) after each atom.
Atoms (fractional coordinates):
Li 0.1506 0.1372 0.0000  10 Pd 2.56-2.85
Li 0.3494 0.6372 0.0000  10 Pd 2.56-2.85
Li 0.6506 0.3628 0.0000  10 Pd 2.56-2.85
Li 0.8494 0.8628 0.0000  10 Pd 2.56-2.85
Si 0.0000 0.5000 0.5000  8 Pd 2.41-2.67
Si 0.5000 0.0000 0.5000  8 Pd 2.41-2.67
Pd 0.0000 0.0000 0.5000  4 Li 2.60, 2 Si 2.67, 6 Pd 2.83-2.91
Pd 0.1185 0.7288 0.5000  1 Si 2.41, 2 Li 2.56
Pd 0.1700 0.3940 0.0000  2 Si 2.48, 3 Li 2.59-2.65
Pd 0.3300 0.8940 0.0000  2 Si 2.48, 3 Li 2.59-2.65
Pd 0.3815 0.2288 0.5000  1 Si 2.41, 2 Li 2.56
Pd 0.5000 0.5000 0.5000  4 Li 2.60, 2 Si 2.67, 6 Pd 2.83-2.91
Pd 0.6185 0.7712 0.5000  1 Si 2.41, 2 Li 2.56
Pd 0.6700 0.1060 0.0000  2 Si 2.48, 3 Li 2.59-2.65
Pd 0.8300 0.6060 0.0000  2 Si 2.48, 3 Li 2.59-2.65
Pd 0.8815 0.2712 0.5000  1 Si 2.41, 2 Li 2.56

Fermi-level density of states	0.2580	states/eV/atom
V	222	Å³/cell
total DFT energy (no corrections)	-4.9899	eV/atom
ΔE_f (raw)	-0.59	eV per atom
total moment	0.00	μB per formula unit
crystal system	orthorhombic

(4)
Computed, not measured: crystalline Li3Si2Pd8 at its relaxed geometry at the GGA-PBE level of DFT.

Cell: 7.1247 7.1247 4.0566 Å, 90.00 90.00 110.57°
With the nearest neighbours (Å) after each atom.
Atoms (fractional coordinates):
Li 0.0000 0.0000 0.0000  8 Pd 2.56-2.57
Li 0.2513 0.2513 0.5000  8 Pd 2.52-2.57
Li 0.7487 0.7487 0.5000  8 Pd 2.52-2.57
Si 0.2500 0.7500 0.0000  8 Pd 2.44-2.49
Si 0.7500 0.2500 0.0000  8 Pd 2.44-2.49
Pd 0.1230 0.3845 0.0000  2 Si 2.44-2.49, 3 Li 2.54-2.57
Pd 0.1331 0.8669 0.5000  2 Si 2.45, 4 Li 2.56-2.57
Pd 0.3715 0.6285 0.5000  2 Si 2.48, 2 Li 2.52
Pd 0.3845 0.1230 0.0000  2 Si 2.44-2.49, 3 Li 2.54-2.57
Pd 0.6155 0.8770 0.0000  2 Si 2.44-2.49, 3 Li 2.54-2.57
Pd 0.6285 0.3715 0.5000  2 Si 2.48, 2 Li 2.52
Pd 0.8669 0.1331 0.5000  2 Si 2.45, 4 Li 2.56-2.57
Pd 0.8770 0.6155 0.0000  2 Si 2.44-2.49, 3 Li 2.54-2.57

Fermi-level density of states	0.2969	states/eV/atom
V	193	Å³/cell
total DFT energy (no corrections)	-4.9528	eV/atom
ΔE_f (raw)	-0.48	eV per atom
total moment	0.00	μB per formula unit
crystal system	orthorhombic

(5)
Computed, not measured: crystalline Li5SiPd8 at its relaxed geometry at the GGA-PBE level of DFT.

Cell: 6.4135 6.4135 6.4135 Å, 111.71 111.71 105.08°
With the nearest neighbours (Å) after each atom.
Atoms (fractional coordinates):
Li 0.0000 0.0000 0.0000  4 Pd 2.34
Li 0.2069 0.0466 0.6003  8 Pd 2.56-2.80, 2 Li 2.82
Li 0.3934 0.7931 0.8397  8 Pd 2.56-2.80, 2 Li 2.82
Li 0.4463 0.6066 0.3997  8 Pd 2.56-2.80, 2 Li 2.82
Li 0.9534 0.5537 0.1603  8 Pd 2.56-2.80, 2 Li 2.82
Si 0.7500 0.2500 0.5000  8 Pd 2.38-2.49
Pd 0.0674 0.3126 0.3884  3 Li 2.34-2.62, 1 Si 2.38
Pd 0.1725 0.4291 0.8936  1 Si 2.49, 4 Li 2.60-2.63
Pd 0.3210 0.9326 0.2452  3 Li 2.34-2.62, 1 Si 2.38
Pd 0.5355 0.2789 0.1064  1 Si 2.49, 4 Li 2.60-2.63
Pd 0.5709 0.4645 0.7434  1 Si 2.49, 4 Li 2.60-2.63
Pd 0.6874 0.0758 0.7548  3 Li 2.34-2.62, 1 Si 2.38
Pd 0.7211 0.8275 0.2566  1 Si 2.49, 4 Li 2.60-2.63
Pd 0.9242 0.6790 0.6116  3 Li 2.34-2.62, 1 Si 2.38

Fermi-level density of states	0.2897	states/eV/atom
V	202	Å³/cell
total DFT energy (no corrections)	-4.4311	eV/atom
ΔE_f (raw)	-0.39	eV per atom
total moment	0.00	μB per formula unit
crystal system	tetragonal

(6)
Computed, not measured: crystalline Li3SiPd4 at its relaxed geometry at the GGA-PBE level of DFT.

Cell: 5.7140 5.7140 5.7140 Å, 124.48 77.82 130.15°
With the nearest neighbours (Å) after each atom.
Atoms (fractional coordinates):
Li 0.0000 0.0000 0.0000  2 Li 2.42, 2 Pd 2.64, 2 Si 2.66
Li 0.0399 0.7919 0.2480  4 Pd 2.39-2.66, 1 Li 2.42, 1 Si 2.58
Li 0.5439 0.7919 0.7520  4 Pd 2.39-2.66, 1 Li 2.42, 1 Si 2.58
Si 0.0244 0.5244 0.5000  4 Pd 2.34-2.53, 2 Li 2.58
Pd 0.0306 0.2979 0.7326  1 Si 2.34, 2 Li 2.39-2.44
Pd 0.4734 0.2218 0.7484  1 Si 2.53, 3 Li 2.64-2.74, 2 Pd 2.64-2.68
Pd 0.4734 0.7250 0.2516  1 Si 2.53, 3 Li 2.64-2.74, 2 Pd 2.64-2.68
Pd 0.5653 0.2979 0.2674  1 Si 2.34, 2 Li 2.39-2.44

Fermi-level density of states	0.4932	states/eV/atom
V	114	Å³/cell
total DFT energy (no corrections)	-4.3785	eV/atom
ΔE_f (raw)	-0.39	eV per atom
total moment	0.00	μB per formula unit
crystal system	orthorhombic

(7)
Computed, not measured: crystalline Li2SiPd3 at its relaxed geometry at the GGA-PBE level of DFT.

Cell: 6.6159 6.6159 6.1303 Å, 90.00 90.00 143.14°
With the nearest neighbours (Å) after each atom.
Atoms (fractional coordinates):
Li 0.0000 0.0000 0.0000  8 Pd 2.61-2.70
Li 0.0000 0.0000 0.5000  8 Pd 2.58, 4 Si 2.87
Li 0.3324 0.6676 0.0000  8 Pd 2.60-2.65
Li 0.6676 0.3324 0.0000  8 Pd 2.60-2.65
Si 0.3434 0.6566 0.5000  8 Pd 2.48-2.59
Si 0.6566 0.3434 0.5000  8 Pd 2.48-2.59
Pd 0.1711 0.8289 0.2664  3 Si 2.54-2.59, 5 Li 2.58-2.70
Pd 0.1711 0.8289 0.7336  3 Si 2.54-2.59, 5 Li 2.58-2.70
Pd 0.5000 0.5000 0.2542  2 Si 2.48, 6 Li 2.58-2.62
Pd 0.5000 0.5000 0.7458  2 Si 2.48, 6 Li 2.58-2.62
Pd 0.8289 0.1711 0.2664  3 Si 2.54-2.59, 5 Li 2.58-2.70
Pd 0.8289 0.1711 0.7336  3 Si 2.54-2.59, 5 Li 2.58-2.70

Fermi-level density of states	0.3474	states/eV/atom
V	161	Å³/cell
total DFT energy (no corrections)	-4.7469	eV/atom
ΔE_f (raw)	-0.61	eV per atom
total moment	0.00	μB per formula unit
crystal system	orthorhombic

(8)
Computed, not measured: crystalline LiSiPd5 at its relaxed geometry at the GGA-PBE level of DFT.

Cell: 4.4000 4.4000 10.9763 Å, 90.00 90.00 81.78°
With the nearest neighbours (Å) after each atom.
Atoms (fractional coordinates):
Li 0.1256 0.8744 0.7500  5 Pd 2.47-2.63
Li 0.8744 0.1256 0.2500  5 Pd 2.47-2.63
Si 0.5000 0.5000 0.0000  4 Pd 2.41
Si 0.5000 0.5000 0.5000  4 Pd 2.41
Pd 0.0647 0.3621 0.6092  1 Si 2.41, 1 Li 2.63
Pd 0.0647 0.3621 0.8908  1 Si 2.41, 1 Li 2.63
Pd 0.3621 0.0647 0.1092  1 Si 2.41, 1 Li 2.63
Pd 0.3621 0.0647 0.3908  1 Si 2.41, 1 Li 2.63
Pd 0.4451 0.5549 0.2500  1 Li 2.47, 8 Pd 2.71-2.72, 2 Si 2.76
Pd 0.5549 0.4451 0.7500  1 Li 2.47, 8 Pd 2.71-2.72, 2 Si 2.76
Pd 0.6379 0.9353 0.6092  1 Si 2.41, 1 Li 2.63
Pd 0.6379 0.9353 0.8908  1 Si 2.41, 1 Li 2.63
Pd 0.9353 0.6379 0.1092  1 Si 2.41, 1 Li 2.63
Pd 0.9353 0.6379 0.3908  1 Si 2.41, 1 Li 2.63

Fermi-level density of states	0.4298	states/eV/atom
V	210	Å³/cell
total DFT energy (no corrections)	-5.1624	eV/atom
ΔE_f (raw)	-0.41	eV per atom
total moment	0.00	μB per formula unit
crystal system	orthorhombic

(9)
Computed, not measured: crystalline Li14SiPd at its relaxed geometry at the GGA-PBE level of DFT.

Cell: 5.9154 5.9154 7.8493 Å, 90.00 90.00 90.00°
With the nearest neighbours (Å) after each atom.
Atoms (fractional coordinates):
Li 0.0000 0.0000 0.0000  12 Li 2.96-3.02
Li 0.0000 0.5000 0.0000  12 Li 2.96-3.03
Li 0.0000 0.5000 0.5000  8 Li 2.72, 2 Pd 2.96, 2 Si 2.96
Li 0.2486 0.2486 0.2785  1 Si 2.71, 10 Li 2.72-3.03, 1 Pd 2.73
Li 0.2486 0.2486 0.7215  1 Si 2.71, 10 Li 2.72-3.03, 1 Pd 2.73
Li 0.2486 0.7514 0.2785  1 Si 2.71, 10 Li 2.72-3.03, 1 Pd 2.73
Li 0.2486 0.7514 0.7215  1 Si 2.71, 10 Li 2.72-3.03, 1 Pd 2.73
Li 0.5000 0.0000 0.0000  12 Li 2.96-3.03
Li 0.5000 0.0000 0.5000  8 Li 2.72, 2 Pd 2.96, 2 Si 2.96
Li 0.5000 0.5000 0.0000  12 Li 2.96-3.03
Li 0.7514 0.2486 0.2785  1 Si 2.71, 10 Li 2.72-3.03, 1 Pd 2.73
Li 0.7514 0.2486 0.7215  1 Si 2.71, 10 Li 2.72-3.03, 1 Pd 2.73
Li 0.7514 0.7514 0.2785  1 Si 2.71, 10 Li 2.72-3.03, 1 Pd 2.73
Li 0.7514 0.7514 0.7215  1 Si 2.71, 10 Li 2.72-3.03, 1 Pd 2.73
Si 0.0000 0.0000 0.5000  12 Li 2.71-2.96
Pd 0.5000 0.5000 0.5000  12 Li 2.73-2.96

Fermi-level density of states	0.3827	states/eV/atom
V	275	Å³/cell
total DFT energy (no corrections)	-2.4441	eV/atom
ΔE_f (raw)	-0.11	eV per atom
total moment	0.00	μB per formula unit
crystal system	tetragonal

(10)
Computed, not measured: crystalline Li2SiPd5 at its relaxed geometry at the GGA-PBE level of DFT.

Cell: 7.3594 7.3594 7.3594 Å, 131.48 131.48 71.05°
With the nearest neighbours (Å) after each atom.
Atoms (fractional coordinates):
Li 0.1352 0.6352 0.7704  1 Li 2.31, 4 Pd 2.35-2.54
Li 0.3648 0.1352 0.5000  1 Li 2.31, 4 Pd 2.35-2.54
Li 0.6352 0.8648 0.5000  1 Li 2.31, 4 Pd 2.35-2.54
Li 0.8648 0.3648 0.2296  1 Li 2.31, 4 Pd 2.35-2.54
Si 0.2500 0.2500 0.0000  8 Pd 2.53
Si 0.7500 0.7500 0.0000  8 Pd 2.53
Pd 0.0000 0.0000 0.0000  4 Li 2.35
Pd 0.0080 0.1811 0.5000  2 Si 2.53, 3 Li 2.54-2.60, 2 Pd 2.71-2.80
Pd 0.1811 0.6811 0.1731  2 Si 2.53, 3 Li 2.54-2.60, 2 Pd 2.71-2.80
Pd 0.3189 0.4920 0.5000  2 Si 2.53, 3 Li 2.54-2.60, 2 Pd 2.71-2.80
Pd 0.4920 0.9920 0.1731  2 Si 2.53, 3 Li 2.54-2.60, 2 Pd 2.71-2.80
Pd 0.5000 0.5000 0.0000  4 Li 2.35
Pd 0.5080 0.0080 0.8269  2 Si 2.53, 3 Li 2.54-2.60, 2 Pd 2.71-2.80
Pd 0.6811 0.5080 0.5000  2 Si 2.53, 3 Li 2.54-2.60, 2 Pd 2.71-2.80
Pd 0.8189 0.3189 0.8269  2 Si 2.53, 3 Li 2.54-2.60, 2 Pd 2.71-2.80
Pd 0.9920 0.8189 0.5000  2 Si 2.53, 3 Li 2.54-2.60, 2 Pd 2.71-2.80

Fermi-level density of states	0.4000	states/eV/atom
V	219	Å³/cell
total DFT energy (no corrections)	-4.8536	eV/atom
ΔE_f (raw)	-0.45	eV per atom
total moment	0.00	μB per formula unit
crystal system	tetragonal